Model A:
Sc5Sb | Alexandria via LeMat-Bulk | SCAN | single point on PBEsol structure; crystal system = monoclinic; space group = No. 8; calculated density = 4.2 g/cm3
1.0
-0.728 2.218 2.354
-5.090 -1.046 -2.922
0.271 -5.357 5.132
Sc Sb
5 1
Cartesian
-2.371 -3.919 5.294
-4.179 -1.395 0.023
-3.507 -3.576 2.285
-2.155 -0.677 2.306
-0.517 -3.255 2.907
-5.502 -4.177 4.569

Model B:
Sc5Sb | Alexandria via LeMat-Bulk | SCAN | single point on PBEsol structure; crystal system = orthorhombic; space group = No. 65; calculated density = 4.3 g/cm3
1.0
-2.214 -3.473 -1.604
-1.260 -1.096 4.112
-4.468 5.605 0.124
Sc Sb
5 1
Cartesian
-0.630 -0.548 2.056
-3.642 -0.963 1.022
-4.301 1.999 1.609
-1.802 1.250 -0.219
-4.881 0.881 -1.261
-1.107 -1.737 -0.802

Model C:
Sc5Sb | Alexandria via LeMat-Bulk | SCAN | single point on PBEsol structure; crystal system = hexagonal; space group = No. 189; calculated density = 4.3 g/cm3
1.0
5.018 0.000 0.000
0.000 5.556 0.000
0.000 -2.778 4.812
Sb Sc
1 5
Cartesian
2.509 0.000 0.000
0.000 0.882 1.527
2.509 0.000 3.208
2.509 2.778 1.604
0.000 3.793 0.000
0.000 -1.897 3.285

Question: which arrangement is favored energetically? Ranking from most to least stable: model B, model C, model A.

Model A:
ScSnSb2Te | Alexandria via LeMat-Bulk | SCAN | single point on PBEsol structure; crystal system = tetragonal; space group = No. 123; calculated density = 5.6 g/cm3
1.0
5.406 0.000 0.000
0.000 5.406 0.000
0.000 0.000 5.402
Sb Sc Te Sn
2 1 1 1
Cartesian
0.000 2.703 0.000
2.703 0.000 0.000
0.000 0.000 0.000
0.000 0.000 2.701
2.703 2.703 2.701

Model B:
ScSnSb2Te | Alexandria via LeMat-Bulk | SCAN | single point on PBEsol structure; crystal system = tetragonal; space group = No. 123; calculated density = 5.4 g/cm3
1.0
-0.651 5.350 0.817
-5.411 -0.634 -0.159
-0.063 -0.851 5.521
Te Sb Sn Sc
1 2 1 1
Cartesian
-0.031 -0.426 2.760
-0.326 2.675 0.409
-2.706 -0.317 -0.080
0.000 0.000 0.000
-3.063 1.932 3.089

Question: which arrangement is favored energetically? Ranking from most to least stable: model A, model B.

Model A:
ScTl2Sb | Alexandria via LeMat-Bulk | SCAN | single point on PBEsol structure; crystal system = orthorhombic; space group = No. 69; calculated density = 9.2 g/cm3
1.0
4.260 -0.001 0.000
-0.012 4.260 0.000
-2.124 -2.129 5.725
Sb Sc Tl
1 1 2
Cartesian
0.000 0.000 0.000
2.124 2.129 0.000
-1.062 -1.065 2.862
1.062 1.065 2.862

Model B:
ScTl2Sb | Alexandria via LeMat-Bulk | SCAN | single point on PBEsol structure; crystal system = tetragonal; space group = No. 99; calculated density = 9.3 g/cm3
1.0
3.897 0.000 0.037
0.000 3.897 0.000
-0.064 0.000 6.782
Sc Tl Sb
1 2 1
Cartesian
1.903 1.948 4.780
1.933 1.948 1.694
-0.064 0.000 6.766
3.861 0.000 3.790

Question: which arrangement is favored energetically? Ranking from most to least stable: model B, model A.